## one
VASP calculation (PBE-GGA) on a relaxed Sr2Zr2Te crystal.

Calculated values
- Crystal system: tetragonal
- Size of the total moment: 0.000 μB per formula unit

CIF file:
```
data_Sr2Zr2Te
_space_group_name_H-M_alt 'I 4/m m m'
_space_group_IT_number 139
_space_group_name_Hall '-I 4 2'
_cell_length_a 4.6183
_cell_length_b 4.6183
_cell_length_c 15.7037
_cell_angle_alpha 90.00
_cell_angle_beta 90.00
_cell_angle_gamma 90.00
loop_
_atom_site_label
_atom_site_type_symbol
_atom_site_fract_x
_atom_site_fract_y
_atom_site_fract_z
Sr1 Sr 0.0000 0.5000 0.2500
Zr1 Zr 0.0000 0.0000 0.0758
Te1 Te 0.0000 0.0000 0.5000
```


## two
VASP calculation (PBE-GGA) on a relaxed Sr2Zr2Te crystal.

Calculated values
- Crystal system: tetragonal
- Size of the total moment: 1.064 μB per formula unit

CIF file:
```
data_Sr2Zr2Te
_space_group_name_H-M_alt 'P 4/m b m'
_space_group_IT_number 127
_space_group_name_Hall '-P 4 2ab'
_cell_length_a 7.5771
_cell_length_b 7.5771
_cell_length_c 5.7276
_cell_angle_alpha 90.00
_cell_angle_beta 90.00
_cell_angle_gamma 90.00
loop_
_atom_site_label
_atom_site_type_symbol
_atom_site_fract_x
_atom_site_fract_y
_atom_site_fract_z
Sr1 Sr 0.1643 0.3357 0.0000
Zr1 Zr 0.1409 0.6409 0.5000
Te1 Te 0.0000 0.0000 0.5000
```


Most stable to least stable, the ends of the list are two and one.


## one
VASP calculation (PBE-GGA) on a relaxed SrZrTe3 crystal.

Calculated values
- Crystal system: cubic
- Size of the total moment: 0.964 μB per formula unit

CIF file:
```
data_SrZrTe3
_space_group_name_H-M_alt 'P m -3 m'
_space_group_IT_number 221
_space_group_name_Hall '-P 4 2 3'
_cell_length_a 5.9321
_cell_length_b 5.9321
_cell_length_c 5.9321
_cell_angle_alpha 90.00
_cell_angle_beta 90.00
_cell_angle_gamma 90.00
loop_
_atom_site_label
_atom_site_type_symbol
_atom_site_fract_x
_atom_site_fract_y
_atom_site_fract_z
Sr1 Sr 0.0000 0.0000 0.0000
Zr1 Zr 0.5000 0.5000 0.5000
Te1 Te 0.0000 0.0000 0.5000
```


## two
VASP calculation (PBE-GGA) on a relaxed SrZrTe3 crystal.

Calculated values
- Crystal system: cubic
- Size of the total moment: 0.000 μB per formula unit

CIF file:
```
data_SrZrTe3
_space_group_name_H-M_alt 'P m -3 m'
_space_group_IT_number 221
_space_group_name_Hall '-P 4 2 3'
_cell_length_a 5.6510
_cell_length_b 5.6510
_cell_length_c 5.6510
_cell_angle_alpha 90.00
_cell_angle_beta 90.00
_cell_angle_gamma 90.00
loop_
_atom_site_label
_atom_site_type_symbol
_atom_site_fract_x
_atom_site_fract_y
_atom_site_fract_z
Sr1 Sr 0.0000 0.0000 0.0000
Zr1 Zr 0.5000 0.5000 0.5000
Te1 Te 0.0000 0.5000 0.5000
```


Most stable to least stable, the ends of the list are two and one.


## one
VASP calculation (PBE-GGA) on a relaxed SrYTh crystal.

Calculated values
- Crystal system: trigonal
- Size of the total moment: 0.000 μB per formula unit

CIF file:
```
data_SrYTh
_space_group_name_H-M_alt 'P 3 m 1'
_space_group_IT_number 156
_space_group_name_Hall 'P 3 -2"'
_cell_length_a 3.7082
_cell_length_b 3.7082
_cell_length_c 9.3391
_cell_angle_alpha 90.00
_cell_angle_beta 90.00
_cell_angle_gamma 120.00
loop_
_atom_site_label
_atom_site_type_symbol
_atom_site_fract_x
_atom_site_fract_y
_atom_site_fract_z
Sr1 Sr 0.0000 0.0000 0.0000
Y1 Y 0.3333 0.6667 0.6415
Th1 Th 0.6667 0.3333 0.3466
```


## two
VASP calculation (PBE-GGA) on a relaxed SrYTh crystal.

Calculated values
- Crystal system: tetragonal
- Size of the total moment: 0.000 μB per formula unit

CIF file:
```
data_SrYTh
_space_group_name_H-M_alt 'I 4 m m'
_space_group_IT_number 107
_space_group_name_Hall 'I 4 -2'
_cell_length_a 3.6468
_cell_length_b 3.6468
_cell_length_c 16.9747
_cell_angle_alpha 90.00
_cell_angle_beta 90.00
_cell_angle_gamma 90.00
loop_
_atom_site_label
_atom_site_type_symbol
_atom_site_fract_x
_atom_site_fract_y
_atom_site_fract_z
Sr1 Sr 0.0000 0.0000 0.0000
Y1 Y 0.0000 0.0000 0.3162
Th1 Th 0.0000 0.0000 0.6784
```


Most stable to least stable, the ends of the list are two and one.


## one
VASP calculation (PBE-GGA) on a relaxed SrY2Th crystal.

Calculated values
- Crystal system: trigonal
- Size of the total moment: 0.000 μB per formula unit

CIF file:
```
data_SrY2Th
_space_group_name_H-M_alt 'R -3 m'
_space_group_IT_number 166
_space_group_name_Hall '-R 3 2"'
_cell_length_a 3.6337
_cell_length_b 3.6337
_cell_length_c 37.9884
_cell_angle_alpha 90.00
_cell_angle_beta 90.00
_cell_angle_gamma 120.00
loop_
_atom_site_label
_atom_site_type_symbol
_atom_site_fract_x
_atom_site_fract_y
_atom_site_fract_z
Sr1 Sr 0.0000 0.0000 0.0000
Y1 Y 0.0000 0.0000 0.0937
Th1 Th 0.0000 0.0000 0.5000
```


## two
VASP calculation (PBE-GGA) on a relaxed SrY2Th crystal.

Calculated values
- Crystal system: tetragonal
- Size of the total moment: 0.000 μB per formula unit

CIF file:
```
data_SrY2Th
_space_group_name_H-M_alt 'P 4/m m m'
_space_group_IT_number 123
_space_group_name_Hall '-P 4 2'
_cell_length_a 3.6997
_cell_length_b 3.6997
_cell_length_c 10.6673
_cell_angle_alpha 90.00
_cell_angle_beta 90.00
_cell_angle_gamma 90.00
loop_
_atom_site_label
_atom_site_type_symbol
_atom_site_fract_x
_atom_site_fract_y
_atom_site_fract_z
Sr1 Sr 0.0000 0.0000 0.0000
Y1 Y 0.5000 0.5000 0.2844
Th1 Th 0.0000 0.0000 0.5000
```


Most stable to least stable, the ends of the list are two and one.


## one
VASP calculation (PBE-GGA) on a relaxed SrThZn crystal.

Calculated values
- Crystal system: orthorhombic
- Size of the total moment: 0.000 μB per formula unit

CIF file:
```
data_SrThZn
_space_group_name_H-M_alt 'A m m 2'
_space_group_IT_number 38
_space_group_name_Hall 'A 2 -2'
_cell_length_a 16.0904
_cell_length_b 3.7294
_cell_length_c 6.4636
_cell_angle_alpha 90.00
_cell_angle_beta 90.00
_cell_angle_gamma 90.00
loop_
_atom_site_label
_atom_site_type_symbol
_atom_site_fract_x
_atom_site_fract_y
_atom_site_fract_z
Sr1 Sr 0.1522 0.0000 0.0000
Th1 Th 0.3578 0.0000 0.3312
Zn1 Zn 0.0000 0.0000 0.3335
Zn2 Zn 0.5000 0.0000 0.9980
```


## two
VASP calculation (PBE-GGA) on a relaxed SrThZn crystal.

Calculated values
- Crystal system: tetragonal
- Size of the total moment: 0.001 μB per formula unit

CIF file:
```
data_SrThZn
_space_group_name_H-M_alt 'I 4 m m'
_space_group_IT_number 107
_space_group_name_Hall 'I 4 -2'
_cell_length_a 3.7301
_cell_length_b 3.7301
_cell_length_c 13.7450
_cell_angle_alpha 90.00
_cell_angle_beta 90.00
_cell_angle_gamma 90.00
loop_
_atom_site_label
_atom_site_type_symbol
_atom_site_fract_x
_atom_site_fract_y
_atom_site_fract_z
Sr1 Sr 0.0000 0.0000 0.0000
Th1 Th 0.0000 0.0000 0.7236
Zn1 Zn 0.0000 0.0000 0.3419
```


Most stable to least stable, the ends of the list are two and one.